ErTm2Pt: relaxed, PBE-GGA.

Properties
energy above the most stable polymorph in this dataset	128	meV/atom
crystal system	tetragonal
total energy	-0.202	Ha/atom
symmetry	P4/mmm (123)
E_form	-619	meV/atom

Geometry as POSCAR:
```
ErTm2Pt
1.0
-2.132 -1.864 2.098
2.267 0.409 2.668
-3.878 6.944 2.230
Tm Pt Er
2 1 1
direct
0.000 0.000 0.803
0.000 0.000 0.197
0.500 0.500 0.000
0.500 0.500 0.500
```

***

NiSbP: relaxed, PBE-GGA.

Properties
energy above the most stable polymorph in this dataset	107	meV/atom
raw formation energy	-0.1264	eV per atom
crystal system	triclinic
total energy	-0.192	Ha/atom
symmetry	P-1 (2)

Geometry as POSCAR:
```
NiSbP
1.0
-0.766 3.821 -1.010
-3.833 -1.700 -0.118
-0.153 0.744 6.932
Ni Sb P
2 2 2
direct
0.819 0.209 0.030
0.181 0.791 0.970
0.166 0.279 0.403
0.834 0.721 0.597
0.305 0.303 0.884
0.695 0.697 0.116
```

***

ZnCuO: relaxed, PBE-GGA.

Properties
energy above the most stable polymorph in this dataset	75	meV/atom
raw formation energy	-0.5356	eV per atom
crystal system	triclinic
total energy	-0.146	Ha/atom
symmetry	P1 (1)

Geometry as POSCAR:
```
ZnCuO
1.0
2.777 0.000 0.000
-1.365 2.759 0.002
-0.012 -0.737 4.625
Zn Cu O
1 1 1
direct
0.344 0.688 0.772
0.047 0.096 0.200
0.625 0.246 0.534
```

***

Tl2P: relaxed, PBE-GGA.

Properties
energy above the most stable polymorph in this dataset	133	meV/atom
crystal system	orthorhombic
total energy	-0.117	Ha/atom
symmetry	Pnnm (58)
E_form	199	meV/atom

Geometry as POSCAR:
```
Tl2P
1.0
4.208 0.000 0.000
0.000 5.976 0.000
0.000 0.000 7.013
Tl P
4 2
direct
0.000 0.213 0.627
0.000 0.787 0.373
0.500 0.713 0.873
0.500 0.287 0.127
0.000 0.000 0.000
0.500 0.500 0.500
```

***

NdPuClO4: relaxed, PBE-GGA.

Properties
raw formation energy	-2.5033	eV per atom
crystal system	monoclinic
total energy	-0.306	Ha/atom
symmetry	C2/m (12)

Geometry as POSCAR:
```
NdPuClO4
1.0
-6.136 -3.125 -1.942
-4.240 -2.882 4.990
-5.005 4.263 1.220
Nd Pu Cl O
2 2 2 8
direct
0.207 0.207 0.926
0.793 0.793 0.074
0.628 0.628 0.772
0.372 0.372 0.228
0.971 0.971 0.257
0.029 0.029 0.743
0.330 0.330 0.524
0.670 0.670 0.476
0.067 0.449 0.194
0.577 0.577 0.086
0.551 0.933 0.806
0.449 0.067 0.194
0.423 0.423 0.914
0.933 0.551 0.806
```

***

MgIn3Rh3: relaxed, PBE-GGA.

Properties
crystal system	trigonal
total energy	-0.184	Ha/atom
symmetry	R-3m (166)
E_form	-448	meV/atom

Geometry as POSCAR:
```
MgIn3Rh3
1.0
-4.354 2.670 -2.107
2.144 -3.324 -3.838
-1.606 -3.009 4.347
Mg In Rh
1 3 3
direct
0.000 0.503 0.000
0.500 0.004 0.000
0.500 0.504 0.500
0.000 0.004 0.500
0.500 0.504 0.000
0.500 0.004 0.500
0.000 0.504 0.500
```

***

These records have calculated density values of 11.3; 6.2; 6.8; 8.3; 5.8; 8.7 g/cm3, in the order they appear.